# 1
## Tb2HoI (GGA-PBE)

Data for crystalline Tb2HoI at its relaxed geometry.

Summary:
The value obtained for the calculated density is 7.926 g/cm3. The value obtained for the polymorph energy (0 for the lowest one) is 0 meV per atom. Its magnetic moment is 0.000 μB per atom.

Lattice parameters (Å, degrees): 10.6466 10.6466 10.6466 20.35 20.35 20.35
Fractional coordinates of all 4 atoms:
Tb (0.0000, 0.0000, 0.0000)
Tb (0.1746, 0.1746, 0.1746)
Ho (0.4202, 0.4202, 0.4202)
I (0.5872, 0.5872, 0.5872)

# 2
## TbHo2I (GGA-PBE)

Data for crystalline TbHo2I at its relaxed geometry.

Summary:
The value obtained for the calculated density is 8.195 g/cm3. The value obtained for the polymorph energy (0 for the lowest one) is 65 meV per atom. Its magnetic moment is 0.000 μB per atom.

Lattice parameters (Å, degrees): 3.6323 3.6323 9.4560 90.00 90.00 90.00
Fractional coordinates of all 4 atoms:
Tb (0.0000, 0.0000, 0.0000)
Ho (0.5000, 0.5000, 0.2549)
Ho (0.5000, 0.5000, 0.7451)
I (0.0000, 0.0000, 0.5000)

# 3
## TbHoI (GGA-PBE)

Data for crystalline TbHoI at its relaxed geometry.

Summary:
The value obtained for the calculated density is 7.842 g/cm3. The value obtained for the polymorph energy (0 for the lowest one) is 0 meV per atom. Its magnetic moment is 0.073 μB per atom.

Lattice parameters (Å, degrees): 3.8226 3.8226 7.5422 90.00 90.00 120.00
Fractional coordinates of all 3 atoms:
Tb (0.0000, 0.0000, 0.0000)
Ho (0.6667, 0.3333, 0.3480)
I (0.3333, 0.6667, 0.6727)

# 4
## TbHoTeI (GGA-PBE)

Data for crystalline TbHoTeI at its relaxed geometry.

Summary:
The value obtained for the calculated density is 8.928 g/cm3. The calculation puts the final energy at -17.63 eV/cell. Its magnetic moment is 0.000 μB per atom.

Lattice parameters (Å, degrees): 5.3382 5.3382 5.3382 60.00 60.00 60.00
Fractional coordinates of all 4 atoms:
Tb (0.0000, 0.0000, 0.0000)
Ho (0.5000, 0.5000, 0.5000)
Te (0.2500, 0.2500, 0.2500)
I (0.7500, 0.7500, 0.7500)

# 5
## HoTcI (GGA-PBE)

Data for crystalline HoTcI at its relaxed geometry.

Summary:
The value obtained for the calculated density is 7.031 g/cm3. The calculation puts the final energy at -37.22 eV/cell. Its magnetic moment is 0.000 μB per atom.

Lattice parameters (Å, degrees): 12.8147 12.8147 12.8147 18.45 18.45 18.45
Fractional coordinates of all 6 atoms:
Ho (0.0565, 0.0565, 0.0565)
Ho (0.9435, 0.9435, 0.9435)
Tc (0.3380, 0.3380, 0.3380)
Tc (0.6620, 0.6620, 0.6620)
I (0.2215, 0.2215, 0.2215)
I (0.7785, 0.7785, 0.7785)

# 6
## Ho3TcI3 (GGA-PBE)

Data for crystalline Ho3TcI3 at its relaxed geometry.

Summary:
The value obtained for the calculated density is 6.381 g/cm3. The calculation puts the final energy at -66.86 eV/cell. Its magnetic moment is 0.000 μB per atom.

Lattice parameters (Å, degrees): 12.1599 12.1599 12.1599 34.21 34.21 34.21
Fractional coordinates of all 14 atoms:
Ho (0.0783, 0.4536, 0.8280)
Ho (0.1720, 0.9217, 0.5464)
Ho (0.4536, 0.8280, 0.0783)
Ho (0.5464, 0.1720, 0.9217)
Ho (0.8280, 0.0783, 0.4536)
Ho (0.9217, 0.5464, 0.1720)
Tc (0.1667, 0.1667, 0.1667)
Tc (0.8333, 0.8333, 0.8333)
I (0.0760, 0.7101, 0.3928)
I (0.2899, 0.6072, 0.9240)
I (0.3928, 0.0760, 0.7101)
I (0.6072, 0.9240, 0.2899)
I (0.7101, 0.3928, 0.0760)
I (0.9240, 0.2899, 0.6072)

# 7
## Ho2TeI (GGA-PBE)

Data for crystalline Ho2TeI at its relaxed geometry.

Summary:
The value obtained for the calculated density is 8.394 g/cm3. The value obtained for the polymorph energy (0 for the lowest one) is 0 meV per atom. Its magnetic moment is 0.000 μB per atom.

Lattice parameters (Å, degrees): 8.8088 8.8088 8.8088 25.99 25.99 25.99
Fractional coordinates of all 4 atoms:
Ho (0.0000, 0.0000, 0.0000)
Ho (0.1748, 0.1748, 0.1748)
Te (0.5876, 0.5876, 0.5876)
I (0.7548, 0.7548, 0.7548)

# 8
## Ho3Te3I (GGA-PBE)

Data for crystalline Ho3Te3I at its relaxed geometry.

Summary:
The value obtained for the calculated density is 7.372 g/cm3. The calculation puts the final energy at -33.84 eV/cell. Its magnetic moment is 0.000 μB per atom.

Lattice parameters (Å, degrees): 4.3259 4.3259 12.0905 90.00 90.00 90.00
Fractional coordinates of all 7 atoms:
Ho (0.0000, 0.0000, 0.0000)
Ho (0.5000, 0.5000, 0.2510)
Ho (0.5000, 0.5000, 0.7490)
Te (0.0000, 0.0000, 0.2589)
Te (0.0000, 0.0000, 0.7411)
Te (0.5000, 0.5000, 0.0000)
I (0.5000, 0.5000, 0.5000)

# 9
## HoTeI (GGA-PBE)

Data for crystalline HoTeI at its relaxed geometry.

Summary:
The value obtained for the calculated density is 6.530 g/cm3. The value obtained for the polymorph energy (0 for the lowest one) is 254 meV per atom. Its magnetic moment is 0.000 μB per atom.

Lattice parameters (Å, degrees): 7.7817 7.7817 7.7817 151.56 151.56 40.66
Fractional coordinates of all 3 atoms:
Ho (0.0000, 0.0000, 0.0000)
Te (0.6073, 0.6073, 0.0000)
I (0.3566, 0.3566, 0.0000)

# 10
## HoTeI (GGA-PBE)

Data for crystalline HoTeI at its relaxed geometry.

Summary:
The value obtained for the calculated density is 5.794 g/cm3. The value obtained for the polymorph energy (0 for the lowest one) is 37 meV per atom. Its magnetic moment is 0.000 μB per atom.

Lattice parameters (Å, degrees): 7.3858 4.3487 7.4937 90.00 92.74 90.00
Fractional coordinates of all 6 atoms:
Ho (0.0000, 0.0000, 0.0000)
Ho (0.0000, 0.5000, 0.5000)
Te (0.2297, 0.0000, 0.6842)
Te (0.7703, 0.0000, 0.3158)
I (0.2522, 0.5000, 0.1732)
I (0.7478, 0.5000, 0.8268)

# 11
## Ho2TeI (GGA-PBE)

Data for crystalline Ho2TeI at its relaxed geometry.

Summary:
The value obtained for the calculated density is 6.957 g/cm3. The value obtained for the polymorph energy (0 for the lowest one) is 144 meV per atom. Its magnetic moment is 0.082 μB per atom.

Lattice parameters (Å, degrees): 9.9010 9.9010 9.9010 23.86 23.86 23.86
Fractional coordinates of all 4 atoms:
Ho (0.1013, 0.1013, 0.1013)
Ho (0.8987, 0.8987, 0.8987)
Te (0.5000, 0.5000, 0.5000)
I (0.0000, 0.0000, 0.0000)

# 12
## Ho2TeI (GGA-PBE)

Data for crystalline Ho2TeI at its relaxed geometry.

Summary:
The value obtained for the calculated density is 6.926 g/cm3. The value obtained for the polymorph energy (0 for the lowest one) is 171 meV per atom. Its magnetic moment is 0.092 μB per atom.

Lattice parameters (Å, degrees): 7.2695 4.0737 9.4619 90.00 90.05 90.00
Fractional coordinates of all 8 atoms:
Ho (0.0000, 0.0000, 0.0000)
Ho (0.1863, 0.0000, 0.3935)
Ho (0.4996, 0.5000, 0.6244)
Ho (0.6875, 0.5000, 0.2304)
Te (0.2349, 0.0000, 0.7253)
Te (0.7349, 0.5000, 0.8991)
I (0.3897, 0.0000, 0.1202)
I (0.8893, 0.5000, 0.5046)

# 13
## Ho2Te2I (GGA-PBE)

Data for crystalline Ho2Te2I at its relaxed geometry.

Summary:
The value obtained for the calculated density is 6.971 g/cm3. The calculation puts the final energy at -23.33 eV/cell. Its magnetic moment is 0.000 μB per atom.

Lattice parameters (Å, degrees): 7.5312 7.5312 7.5312 146.76 133.08 58.71
Fractional coordinates of all 5 atoms:
Ho (0.1821, 0.1821, 0.0000)
Ho (0.8179, 0.8179, 0.0000)
Te (0.3437, 0.8437, 0.5000)
Te (0.6563, 0.1563, 0.5000)
I (0.0000, 0.5000, 0.5000)

# 14
## HoTeI (GGA-PBE)

Data for crystalline HoTeI at its relaxed geometry.

Summary:
The value obtained for the calculated density is 5.727 g/cm3. The value obtained for the polymorph energy (0 for the lowest one) is 0 meV per atom. Its magnetic moment is 0.000 μB per atom.

Lattice parameters (Å, degrees): 4.3539 4.3539 7.4076 90.00 90.00 120.00
Fractional coordinates of all 3 atoms:
Ho (0.0000, 0.0000, 0.0000)
Te (0.6667, 0.3333, 0.2159)
I (0.3333, 0.6667, 0.7349)

# 15
## HoTeI (GGA-PBE)

Data for crystalline HoTeI at its relaxed geometry.

Summary:
The value obtained for the calculated density is 6.334 g/cm3. The value obtained for the polymorph energy (0 for the lowest one) is 21 meV per atom. Its magnetic moment is 0.000 μB per atom.

Lattice parameters (Å, degrees): 12.8168 12.8168 12.8168 161.14 161.14 26.79
Fractional coordinates of all 6 atoms:
Ho (0.1647, 0.1647, 0.0000)
Ho (0.8353, 0.8353, 0.0000)
Te (0.2942, 0.2942, 0.0000)
Te (0.7058, 0.7058, 0.0000)
I (0.5741, 0.0741, 0.5000)
I (0.9259, 0.4259, 0.5000)

# 16
## HoTeI (GGA-PBE)

Data for crystalline HoTeI at its relaxed geometry.

Summary:
The value obtained for the calculated density is 5.847 g/cm3. The value obtained for the polymorph energy (0 for the lowest one) is 63 meV per atom. Its magnetic moment is 0.000 μB per atom.

Lattice parameters (Å, degrees): 10.5108 10.5108 10.5108 113.82 113.82 113.82
Fractional coordinates of all 18 atoms:
Ho (0.1964, 0.7348, 0.3438)
Ho (0.2652, 0.6562, 0.8036)
Ho (0.3438, 0.1964, 0.7348)
Ho (0.6562, 0.8036, 0.2652)
Ho (0.7348, 0.3438, 0.1964)
Ho (0.8036, 0.2652, 0.6562)
Te (0.0388, 0.2121, 0.5788)
Te (0.2121, 0.5788, 0.0388)
Te (0.4212, 0.9612, 0.7879)
Te (0.5788, 0.0388, 0.2121)
Te (0.7879, 0.4212, 0.9612)
Te (0.9612, 0.7879, 0.4212)
I (0.1081, 0.4316, 0.3696)
I (0.3696, 0.1081, 0.4316)
I (0.4316, 0.3696, 0.1081)
I (0.5684, 0.6304, 0.8919)
I (0.6304, 0.8919, 0.5684)
I (0.8919, 0.5684, 0.6304)

# 17
## HoTiI (GGA-PBE)

Data for crystalline HoTiI at its relaxed geometry.

Summary:
The value obtained for the calculated density is 5.936 g/cm3. The calculation puts the final energy at -29.60 eV/cell. Its magnetic moment is 0.129 μB per atom.

Lattice parameters (Å, degrees): 5.0472 3.7736 10.2069 90.00 102.15 90.00
Fractional coordinates of all 6 atoms:
Ho (0.0965, 0.2500, 0.1315)
Ho (0.9035, 0.7500, 0.8685)
Ti (0.4233, 0.2500, 0.8952)
Ti (0.5767, 0.7500, 0.1048)
I (0.3214, 0.7500, 0.6681)
I (0.6786, 0.2500, 0.3319)

# 18
## Ho2TiI (GGA-PBE)

Data for crystalline Ho2TiI at its relaxed geometry.

Summary:
The value obtained for the calculated density is 7.254 g/cm3. The calculation puts the final energy at -17.56 eV/cell. Its magnetic moment is 0.543 μB per atom.

Lattice parameters (Å, degrees): 11.1696 11.1696 11.1696 17.95 17.95 17.95
Fractional coordinates of all 4 atoms:
Ho (0.0899, 0.0899, 0.0899)
Ho (0.9101, 0.9101, 0.9101)
Ti (0.0000, 0.0000, 0.0000)
I (0.5000, 0.5000, 0.5000)

# 19
## Ho2TlI3 (GGA-PBE)

Data for crystalline Ho2TlI3 at its relaxed geometry.

Summary:
The value obtained for the calculated density is 5.918 g/cm3. The calculation puts the final energy at -42.67 eV/cell. Its magnetic moment is 0.000 μB per atom.

Lattice parameters (Å, degrees): 10.8623 10.8623 15.9453 130.88 130.88 21.46
Fractional coordinates of all 12 atoms:
Ho (0.0988, 0.0988, 0.2363)
Ho (0.3741, 0.3741, 0.0721)
Ho (0.6259, 0.6259, 0.9279)
Ho (0.9012, 0.9012, 0.7637)
Tl (0.0802, 0.0802, 0.0260)
Tl (0.9198, 0.9198, 0.9740)
I (0.1877, 0.1877, 0.8465)
I (0.2599, 0.2599, 0.6457)
I (0.4610, 0.4610, 0.6782)
I (0.5390, 0.5390, 0.3218)
I (0.7401, 0.7401, 0.3543)
I (0.8123, 0.8123, 0.1535)

# 20
## HoTlI (GGA-PBE)

Data for crystalline HoTlI at its relaxed geometry.

Summary:
The value obtained for the calculated density is 7.172 g/cm3. The value obtained for the polymorph energy (0 for the lowest one) is 0 meV per atom. Its magnetic moment is 0.000 μB per atom.

Lattice parameters (Å, degrees): 3.8888 4.7245 12.5070 90.21 90.34 90.00
Fractional coordinates of all 6 atoms:
Ho (0.0033, 0.2516, 0.1601)
Ho (0.9967, 0.7484, 0.8399)
Tl (0.4985, 0.2492, 0.9201)
Tl (0.5015, 0.7508, 0.0799)
I (0.4932, 0.7465, 0.6559)
I (0.5068, 0.2535, 0.3441)

# 21
## Ho4TlI5 (GGA-PBE)

Data for crystalline Ho4TlI5 at its relaxed geometry.

Summary:
The value obtained for the calculated density is 6.981 g/cm3. The calculation puts the final energy at -37.69 eV/cell. Its magnetic moment is 0.000 μB per atom.

Lattice parameters (Å, degrees): 9.7459 9.7459 8.8691 101.27 101.27 25.59
Fractional coordinates of all 10 atoms:
Ho (0.0014, 0.0014, 0.2252)
Ho (0.3438, 0.3438, 0.9269)
Ho (0.6562, 0.6562, 0.0731)
Ho (0.9986, 0.9986, 0.7748)
Tl (0.5000, 0.5000, 0.0000)
I (0.1680, 0.1680, 0.3301)
I (0.1723, 0.1723, 0.8255)
I (0.5000, 0.5000, 0.5000)
I (0.8277, 0.8277, 0.1745)
I (0.8320, 0.8320, 0.6699)

# 22
## HoTlI2 (GGA-PBE)

Data for crystalline HoTlI2 at its relaxed geometry.

Summary:
The value obtained for the calculated density is 6.807 g/cm3. The calculation puts the final energy at -13.08 eV/cell. Its magnetic moment is 0.000 μB per atom.

Lattice parameters (Å, degrees): 11.5618 11.5618 11.5618 19.59 19.59 19.59
Fractional coordinates of all 4 atoms:
Ho (0.0000, 0.0000, 0.0000)
Tl (0.5000, 0.5000, 0.5000)
I (0.3941, 0.3941, 0.3941)
I (0.6059, 0.6059, 0.6059)

# 23
## HoTlI3 (GGA-PBE)

Data for crystalline HoTlI3 at its relaxed geometry.

Summary:
The value obtained for the calculated density is 5.769 g/cm3. The calculation puts the final energy at -15.60 eV/cell. Its magnetic moment is 0.049 μB per atom.

Lattice parameters (Å, degrees): 5.9990 5.9990 5.9990 90.00 90.00 90.00
Fractional coordinates of all 5 atoms:
Ho (0.0000, 0.0000, 0.0000)
Tl (0.5000, 0.5000, 0.5000)
I (0.0000, 0.0000, 0.5000)
I (0.0000, 0.5000, 0.0000)
I (0.5000, 0.0000, 0.0000)

# 24
## HoTlI (GGA-PBE)

Data for crystalline HoTlI at its relaxed geometry.

Summary:
The value obtained for the calculated density is 7.814 g/cm3. The value obtained for the polymorph energy (0 for the lowest one) is 74 meV per atom. Its magnetic moment is 0.000 μB per atom.

Lattice parameters (Å, degrees): 13.2729 13.2729 7.5156 96.97 96.97 18.72
Fractional coordinates of all 12 atoms:
Ho (0.1350, 0.1350, 0.1335)
Ho (0.1654, 0.1654, 0.6529)
Ho (0.8346, 0.8346, 0.3471)
Ho (0.8650, 0.8650, 0.8665)
Tl (0.2409, 0.2409, 0.3538)
Tl (0.2955, 0.2955, 0.0098)
Tl (0.7045, 0.7045, 0.9902)
Tl (0.7591, 0.7591, 0.6462)
I (0.0592, 0.0592, 0.8055)
I (0.4056, 0.4056, 0.6134)
I (0.5944, 0.5944, 0.3866)
I (0.9408, 0.9408, 0.1945)

# 25
## HoTl4I7 (GGA-PBE)

Data for crystalline HoTl4I7 at its relaxed geometry.

Summary:
The value obtained for the calculated density is 5.666 g/cm3. The calculation puts the final energy at -35.19 eV/cell. Its magnetic moment is 0.000 μB per atom.

Lattice parameters (Å, degrees): 11.8925 11.8925 8.4699 106.63 106.63 28.62
Fractional coordinates of all 12 atoms:
Ho (0.0000, 0.0000, 0.0000)
Tl (0.3123, 0.3123, 0.7336)
Tl (0.4178, 0.4178, 0.3565)
Tl (0.5822, 0.5822, 0.6435)
Tl (0.6877, 0.6877, 0.2664)
I (0.0784, 0.0784, 0.3558)
I (0.1140, 0.1140, 0.8933)
I (0.2746, 0.2746, 0.3211)
I (0.5000, 0.5000, 0.0000)
I (0.7254, 0.7254, 0.6789)
I (0.8860, 0.8860, 0.1067)
I (0.9216, 0.9216, 0.6442)

# 26
## HoTmI (GGA-PBE)

Data for crystalline HoTmI at its relaxed geometry.

Summary:
The value obtained for the calculated density is 8.342 g/cm3. The value obtained for the polymorph energy (0 for the lowest one) is 0 meV per atom. Its magnetic moment is 0.000 μB per atom.

Lattice parameters (Å, degrees): 7.3279 7.3279 7.3279 151.10 151.10 41.33
Fractional coordinates of all 3 atoms:
Ho (0.0000, 0.0000, 0.0000)
Tm (0.3346, 0.3346, 0.0000)
I (0.6677, 0.6677, 0.0000)